5
Lattice="-1.919 1.919 6.609 1.919 -1.919 6.609 1.919 1.919 -6.609" Properties=species:S:1:pos:R:3 comment="Na2TlNi2 | Alexandria | PBE | optimized geometry" final_energy_ev_per_cell=-13.8 density_g_cm3=6.273 delta_e_f_kj_per_mol_atoms=54 pbc="T T T"
Na 1.919 0.000 3.305
Na 0.000 1.919 3.305
Tl 0.000 0.000 0.000
Ni 0.000 0.000 5.480
Ni 0.000 0.000 7.739